Here is a relaxed Rb5Zn3Hg12 crystal from Alexandria. Energies are from PBE.

Computed properties:
- E (eV for the cell shown) = -99.19
- magnetic moment (μB/cell) = 0.00
- theoretical density (g/cm³) = 5.7
- energy of formation from the pure elements (eV per atom) = -0.006

a = 19.175 Å, b = 19.175 Å, c = 19.175 Å
α = 90.00°, β = 90.00°, γ = 90.00°
Space group Ia-3d (No. 230)
Unique sites:
Rb 0.000 0.000 0.000
Rb 0.000 0.250 0.375
Zn 0.000 0.250 0.125
Hg 0.002 0.105 0.645


Here is a relaxed Tc4WBr crystal from Alexandria. Energies are from PBE.

Computed properties:
- E (eV for the cell shown) = -201.07
- magnetic moment (μB/cell) = 0.00
- theoretical density (g/cm³) = 11.1
- formation energy (no corrections) (eV/f.u.) = 5.8

a = 7.324 Å, b = 7.324 Å, c = 7.324 Å
α = 90.00°, β = 90.00°, γ = 90.00°
Space group F-43m (No. 216)
Unique sites:
Tc 0.125 0.125 0.125
W 0.000 0.000 0.500
Br 0.250 0.250 0.750


Here is a relaxed InRuPb crystal from Alexandria. Energies are from PBE.

Computed properties:
- E (eV for the cell shown) = -15.33
- magnetic moment (μB/cell) = 0.00
- theoretical density (g/cm³) = 10.5
- distance to the lowest polymorph of the same formula (meV per atom) = 0
- energy of formation from the pure elements (eV per atom) = 0.129

a = 3.249 Å, b = 3.249 Å, c = 6.347 Å
α = 90.00°, β = 90.00°, γ = 90.00°
Space group P4mm (No. 99)
Unique sites:
In 0.000 0.000 0.000
Ru 0.500 0.500 0.748
Pb 0.000 0.000 0.477